Entry 1:
{
  "formula": "Zr2ZnSn",
  "functional": "PBE",
  "state": "optimized geometry",
  "lattice_angstrom": [[-3.123, -3.595, 1.214], [-3.613, 0.866, 3.217], [-4.666, 0.176, -1.533]],
  "species": ["Zn", "Sn", "Zr", "Zr"],
  "frac_coords": [[0.250, 0.250, 0.250], [0.500, 0.500, 0.500], [0.750, 0.750, 0.750], [0.000, 0.000, 0.000]],
  "m_tot_mub_per_cell": 1.059,
  "sg": "F-43m",
  "vol_a3_per_atom": 20.98,
  "dft_energy_ev_per_atom": -5.441
}

---

Entry 2:
{
  "formula": "InCu15",
  "functional": "PBE",
  "state": "optimized geometry",
  "lattice_angstrom": [[-2.308, -2.529, 1.142], [1.047, -2.169, -2.688], [29.846, -16.118, 24.625]],
  "species": ["Cu", "Cu", "Cu", "Cu", "Cu", "Cu", "Cu", "Cu", "Cu", "Cu", "Cu", "Cu", "Cu", "Cu", "Cu", "Cu", "Cu", "Cu", "Cu", "Cu", "Cu", "Cu", "Cu", "Cu", "Cu", "In", "Cu", "Cu", "Cu", "In", "Cu", "Cu"],
  "frac_coords": [[0.000, 0.000, 0.521], [0.500, 0.500, 0.180], [0.000, 0.500, 0.735], [0.000, 0.500, 0.650], [0.500, 0.000, 0.222], [0.000, 0.000, 0.265], [0.500, 0.500, 0.778], [0.500, 0.500, 0.265], [0.000, 0.500, 0.393], [0.000, 0.500, 0.479], [0.500, 0.000, 0.564], [0.000, 0.500, 0.308], [0.000, 0.000, 0.607], [0.000, 0.000, 0.692], [0.000, 0.500, 0.222], [0.500, 0.000, 0.820], [0.500, 0.500, 0.607], [0.500, 0.000, 0.308], [0.500, 0.000, 0.479], [0.500, 0.500, 0.350], [0.000, 0.000, 0.350], [0.000, 0.500, 0.564], [0.500, 0.000, 0.650], [0.500, 0.500, 0.692], [0.500, 0.000, 0.735], [0.000, 0.500, 0.836], [0.500, 0.000, 0.393], [0.500, 0.500, 0.436], [0.000, 0.000, 0.436], [0.000, 0.000, 0.164], [0.500, 0.500, 0.521], [0.000, 0.000, 0.778]],
  "de_polymorph_ev_per_fu": 0.00,
  "sg": "Pmma",
  "vol_a3_per_atom": 17.06,
  "dft_energy_ev_per_atom": -3.612
}

---

Entry 3:
{
  "formula": "Pa2N3",
  "functional": "PBE",
  "state": "optimized geometry",
  "lattice_angstrom": [[2.858, 1.650, 2.772], [-2.858, 1.650, 2.772], [0.000, -3.300, 2.772]],
  "species": ["N", "N", "Pa", "Pa", "N"],
  "frac_coords": [[0.000, 0.290, 0.710], [0.710, 0.000, 0.290], [0.795, 0.795, 0.795], [0.205, 0.205, 0.205], [0.290, 0.710, 0.000]],
  "m_tot_mub_per_cell": 0.936,
  "sg": "R32",
  "vol_a3_per_atom": 15.68,
  "dft_energy_ev_per_atom": -10.161
}

---

Entry 4:
{
  "formula": "B4IrOs",
  "functional": "PBE",
  "state": "optimized geometry",
  "lattice_angstrom": [[3.035, 0.000, 0.000], [-1.518, 2.629, 0.000], [0.000, 0.000, 6.725]],
  "species": ["B", "Ir", "B", "Os", "B", "B"],
  "frac_coords": [[0.667, 0.333, 0.253], [0.000, 0.000, 0.000], [0.333, 0.667, 0.253], [0.000, 0.000, 0.500], [0.333, 0.667, 0.747], [0.667, 0.333, 0.747]],
  "m_tot_mub_per_cell": 0.205,
  "de_polymorph_ev_per_fu": 0.00,
  "sg": "P6/mmm",
  "vol_a3_per_atom": 8.94,
  "dft_energy_ev_per_atom": -7.273
}